# CaHo3Tc (PBE-GGA, relaxed)
# - Total magnetization: 0.0 μB/f.u.
# - Symmetry: Pm-3m (221)
# - ΔH_f (0 K): 0.053 eV/atom
# - Calculated density: 6.6 g/cm3
# - E: -5.167 eV per atom
data_CaHo3Tc
_symmetry_space_group_name_H-M 'P 1'
_symmetry_Int_Tables_number 1
_cell_length_a 5.4151
_cell_length_b 5.4151
_cell_length_c 5.4151
_cell_angle_alpha 90.00
_cell_angle_beta 90.00
_cell_angle_gamma 90.00
loop_
_symmetry_equiv_pos_as_xyz
'x,y,z'
loop_
_atom_site_label
_atom_site_type_symbol
_atom_site_fract_x
_atom_site_fract_y
_atom_site_fract_z
_atom_site_occupancy
Ho1 Ho 0.0000 0.5000 0.0000 1
Ho2 Ho 0.5000 0.0000 0.0000 1
Ho3 Ho 0.0000 0.0000 0.5000 1
Ca1 Ca 0.5000 0.5000 0.5000 1
Tc1 Tc 0.0000 0.0000 0.0000 1